The following is a PBE with a Hubbard U calculation of a geometry-optimized KFeC2O6 structure, from Alexandria via LeMat-Bulk.

```
data_KFeC2O6
_cell_length_a 4.9049
_cell_length_b 4.9049
_cell_length_c 6.7208
_cell_angle_alpha 68.60
_cell_angle_beta 68.60
_cell_angle_gamma 60.00
_space_group_name_H-M_alt 'P 1'
_space_group_IT_number 1
loop_
_space_group_symop_operation_xyz
'x,y,z'
loop_
_atom_site_label
_atom_site_type_symbol
_atom_site_fract_x
_atom_site_fract_y
_atom_site_fract_z
K1 K 0.0000 0.0000 0.0000
Fe1 Fe 0.5000 0.5000 0.5000
C1 C 0.7710 0.7710 0.6871
C2 C 0.2290 0.2290 0.3129
O1 O 0.0571 0.5378 0.6929
O2 O 0.7121 0.0571 0.6929
O3 O 0.4622 0.2879 0.3071
O4 O 0.9429 0.4622 0.3071
O5 O 0.2879 0.9429 0.3071
O6 O 0.5378 0.7121 0.6929
```

Output
Total energy (eV per atom): -7.051
Fermi-level density of states (states/eV per cell): 0.00